Entry 1:
Here is a geometry-optimized TcNiHPd2 structure from the Alexandria database. Energies are from GGA-PBE.

```
data_TcNiHPd2
_chemical_formula_sum 'Tc1 Ni1 H1 Pd2'
_space_group_name_H-M_alt 'P 1'
_space_group_IT_number 1
_space_group_name_Hall 'P 1'
_cell_length_a 3.884
_cell_length_b 3.884
_cell_length_c 3.984
_cell_angle_alpha 90.00
_cell_angle_beta 90.00
_cell_angle_gamma 90.00
loop_
_atom_site_label
_atom_site_fract_x
_atom_site_fract_y
_atom_site_fract_z
Ni1 0.500 0.500 0.500
Tc1 0.000 0.000 0.500
Pd1 0.000 0.500 0.000
Pd2 0.500 0.000 0.000
H1 0.000 0.000 0.000
```

Output
- electronic total energy (eV/atom) = -5.76



Entry 2:
Here is a geometry-optimized ThNiH6Pd structure from the Alexandria database. Energies are from GGA-PBE.

```
data_ThNiH6Pd
_chemical_formula_sum 'Th1 Ni1 H6 Pd1'
_space_group_name_H-M_alt 'P 1'
_space_group_IT_number 1
_space_group_name_Hall 'P 1'
_cell_length_a 4.595
_cell_length_b 4.595
_cell_length_c 4.279
_cell_angle_alpha 90.00
_cell_angle_beta 90.00
_cell_angle_gamma 60.00
loop_
_atom_site_label
_atom_site_fract_x
_atom_site_fract_y
_atom_site_fract_z
Th1 0.000 0.000 0.000
Ni1 0.333 0.333 0.500
H1 0.026 0.487 0.237
H2 0.487 0.026 0.763
H3 0.487 0.487 0.763
H4 0.026 0.487 0.763
H5 0.487 0.487 0.237
H6 0.487 0.026 0.237
Pd1 0.667 0.667 0.500
```

Output
- electronic total energy (eV/atom) = -4.60



Entry 3:
Here is a geometry-optimized Ti2NiHPd structure from the Alexandria database. Energies are from GGA-PBE.

```
data_Ti2NiHPd
_chemical_formula_sum 'Ti2 Ni1 H1 Pd1'
_space_group_name_H-M_alt 'P 1'
_space_group_IT_number 1
_space_group_name_Hall 'P 1'
_cell_length_a 4.054
_cell_length_b 4.054
_cell_length_c 3.676
_cell_angle_alpha 90.00
_cell_angle_beta 90.00
_cell_angle_gamma 90.00
loop_
_atom_site_label
_atom_site_fract_x
_atom_site_fract_y
_atom_site_fract_z
Ni1 0.000 0.000 0.500
H1 0.000 0.000 0.000
Pd1 0.500 0.500 0.500
Ti1 0.000 0.500 0.000
Ti2 0.500 0.000 0.000
```

Output
- energy above the lowest structure with this stoichiometry (meV per atom) = 0.0



Entry 4:
Here is a geometry-optimized Ti2NiHPd structure from the Alexandria database. Energies are from GGA-PBE.

```
data_Ti2NiHPd
_chemical_formula_sum 'Ti2 Ni1 H1 Pd1'
_space_group_name_H-M_alt 'P 1'
_space_group_IT_number 1
_space_group_name_Hall 'P 1'
_cell_length_a 3.971
_cell_length_b 3.971
_cell_length_c 3.870
_cell_angle_alpha 90.00
_cell_angle_beta 90.00
_cell_angle_gamma 90.00
loop_
_atom_site_label
_atom_site_fract_x
_atom_site_fract_y
_atom_site_fract_z
Ni1 0.500 0.500 0.500
H1 0.000 0.000 0.000
Pd1 0.000 0.000 0.500
Ti1 0.000 0.500 0.000
Ti2 0.500 0.000 0.000
```

Output
- energy above the lowest structure with this stoichiometry (meV per atom) = 78.8



Entry 5:
Here is a geometry-optimized TlNi2HPd structure from the Alexandria database. Energies are from GGA-PBE.

```
data_TlNi2HPd
_chemical_formula_sum 'Tl1 Ni2 H1 Pd1'
_space_group_name_H-M_alt 'P 1'
_space_group_IT_number 1
_space_group_name_Hall 'P 1'
_cell_length_a 4.871
_cell_length_b 4.871
_cell_length_c 3.203
_cell_angle_alpha 90.00
_cell_angle_beta 90.00
_cell_angle_gamma 90.00
loop_
_atom_site_label
_atom_site_fract_x
_atom_site_fract_y
_atom_site_fract_z
Ni1 0.000 0.500 0.000
Ni2 0.500 0.000 0.000
Tl1 0.500 0.500 0.500
Pd1 0.000 0.000 0.000
H1 0.000 0.000 0.500
```

Output
- energy above the lowest structure with this stoichiometry (meV per atom) = 565.9



Entry 6:
Here is a geometry-optimized TlNi2HPd structure from the Alexandria database. Energies are from GGA-PBE.

```
data_TlNi2HPd
_chemical_formula_sum 'Tl1 Ni2 H1 Pd1'
_space_group_name_H-M_alt 'P 1'
_space_group_IT_number 1
_space_group_name_Hall 'P 1'
_cell_length_a 3.950
_cell_length_b 3.950
_cell_length_c 3.925
_cell_angle_alpha 90.00
_cell_angle_beta 90.00
_cell_angle_gamma 90.00
loop_
_atom_site_label
_atom_site_fract_x
_atom_site_fract_y
_atom_site_fract_z
Ni1 0.000 0.500 0.000
Ni2 0.500 0.000 0.000
Tl1 0.500 0.500 0.500
Pd1 0.000 0.000 0.500
H1 0.000 0.000 0.000
```

Output
- energy above the lowest structure with this stoichiometry (meV per atom) = 0.0



Entry 7:
Here is a geometry-optimized Tl2NiHPd structure from the Alexandria database. Energies are from GGA-PBE.

```
data_Tl2NiHPd
_chemical_formula_sum 'Tl2 Ni1 H1 Pd1'
_space_group_name_H-M_alt 'P 1'
_space_group_IT_number 1
_space_group_name_Hall 'P 1'
_cell_length_a 4.965
_cell_length_b 3.391
_cell_length_c 4.965
_cell_angle_alpha 90.00
_cell_angle_beta 90.00
_cell_angle_gamma 90.00
loop_
_atom_site_label
_atom_site_fract_x
_atom_site_fract_y
_atom_site_fract_z
Ni1 0.500 0.500 0.500
Tl1 0.000 0.000 0.500
Tl2 0.500 0.000 0.000
Pd1 0.000 0.500 0.000
H1 0.000 0.000 0.000
```

Output
- electronic total energy (eV/atom) = -3.55



Entry 8:
Here is a geometry-optimized TmNi2H8Pd structure from the Alexandria database. Energies are from GGA-PBE.

```
data_TmNi2H8Pd
_chemical_formula_sum 'Tm1 Ni2 H8 Pd1'
_space_group_name_H-M_alt 'P 1'
_space_group_IT_number 1
_space_group_name_Hall 'P 1'
_cell_length_a 4.588
_cell_length_b 4.588
_cell_length_c 6.001
_cell_angle_alpha 90.00
_cell_angle_beta 90.00
_cell_angle_gamma 120.00
loop_
_atom_site_label
_atom_site_fract_x
_atom_site_fract_y
_atom_site_fract_z
Tm1 0.000 0.000 0.500
Ni1 0.333 0.667 0.656
Ni2 0.667 0.333 0.344
H1 0.169 0.338 0.817
H2 0.169 0.831 0.817
H3 0.662 0.831 0.817
H4 0.338 0.169 0.183
H5 0.667 0.333 0.599
H6 0.333 0.667 0.401
H7 0.831 0.662 0.183
H8 0.831 0.169 0.183
Pd1 0.000 0.000 0.000
```

Output
- electronic total energy (eV/atom) = -4.07